No. 1
The following is a PBE calculation of crystalline Ba3Te2Br at its relaxed geometry, from Alexandria via LeMat-Bulk.

The space group is Immm (No. 71) and the conventional cell measures 4.944, 6.950 and 14.692 Å, with angles of 90.00, 90.00 and 90.00 degrees. The distinct sites, in fractional coordinates, are Ba at (0.000, 0.000, 0.000), Ba at (0.000, 0.000, 0.329), Te at (0.000, 0.500, 0.334) and Br at (0.000, 0.500, 0.000).

Its calculated volume is 42.068 Å³ per atom. The energy relative to the elements, uncorrected is -1.7447 eV/atom. For the density, the calculation gives 4.9 g/cm³.

=====

No. 2
The following is a PBE calculation of crystalline Ba9Te2Br14 at its relaxed geometry, from Alexandria via LeMat-Bulk.

The space group is P-3 (No. 147) and the conventional cell measures 9.7438, 9.7438 and 13.3855 Å, with angles of 90.00, 90.00 and 120.00 degrees. The distinct sites, in fractional coordinates, are Ba at (0.0000, 0.0000, 0.0000), Ba at (0.0413, 0.3370, 0.3430), Ba at (0.3333, 0.6667, 0.0084), Te at (0.3333, 0.6667, 0.2518), Br at (0.0000, 0.0000, 0.2570), Br at (0.0426, 0.6930, 0.9067) and Br at (0.0547, 0.3748, 0.5912).

Its calculated volume is 44.023 Å³ per atom. The energy relative to the elements, uncorrected is -2.0809 eV/atom. For the density, the calculation gives 3.9 g/cm³.

=====

No. 3
The following is a PBE calculation of crystalline BaTeBr at its relaxed geometry, from Alexandria via LeMat-Bulk.

The space group is F-43m (No. 216) and the conventional cell measures 7.865, 7.865 and 7.865 Å, with angles of 90.00, 90.00 and 90.00 degrees. The distinct sites, in fractional coordinates, are Ba at (0.000, 0.000, 0.000), Te at (0.000, 0.000, 0.500) and Br at (0.250, 0.250, 0.250).

The energy relative to the lowest polymorph listed for this composition is 547 meV/atom. Its calculated volume is 40.546 Å³ per atom. The energy relative to the elements, uncorrected is -1.1005 eV/atom. For the density, the calculation gives 4.7 g/cm³.

=====

No. 4
The following is a PBE calculation of crystalline Ba4TeBr5 at its relaxed geometry, from Alexandria via LeMat-Bulk.

The space group is C2/m (No. 12) and the conventional cell measures 20.824, 5.089 and 8.886 Å, with angles of 90.00, 115.10 and 90.00 degrees. The distinct sites, in fractional coordinates, are Ba at (0.000, 0.000, 0.244), Ba at (0.188, 0.500, 0.688), Te at (0.000, 0.500, 0.500), Br at (0.000, 0.500, 0.000), Br at (0.174, 0.000, 0.428) and Br at (0.174, 0.000, 0.921).

Its calculated volume is 42.637 Å³ per atom. The energy relative to the elements, uncorrected is -1.9702 eV/atom. For the density, the calculation gives 4.2 g/cm³.

=====

No. 5
The following is a PBE calculation of crystalline BaTe4Br at its relaxed geometry, from Alexandria via LeMat-Bulk.

The space group is F-43m (No. 216) and the conventional cell measures 9.209, 9.209 and 9.209 Å, with angles of 90.00, 90.00 and 90.00 degrees. The distinct sites, in fractional coordinates, are Ba at (0.000, 0.000, 0.000), Te at (0.125, 0.125, 0.375) and Br at (0.250, 0.250, 0.750).

Its calculated volume is 32.540 Å³ per atom. The energy relative to the elements, uncorrected is -0.5528 eV/atom. For the density, the calculation gives 6.2 g/cm³.

=====

No. 6
The following is a PBE calculation of crystalline Ba2Te2Br at its relaxed geometry, from Alexandria via LeMat-Bulk.

The space group is I4/mmm (No. 139) and the conventional cell measures 6.485, 6.485 and 10.930 Å, with angles of 90.00, 90.00 and 90.00 degrees. The distinct sites, in fractional coordinates, are Ba at (0.000, 0.500, 0.250), Te at (0.000, 0.000, 0.147) and Br at (0.000, 0.000, 0.500).

The energy relative to the lowest polymorph listed for this composition is 223 meV/atom. Its calculated volume is 45.962 Å³ per atom. The energy relative to the elements, uncorrected is -1.3721 eV/atom. For the density, the calculation gives 4.4 g/cm³.